La2ErNi3As4: optimized geometry, PBE.

V   19.58 Å³/atom
Crystal system   tetragonal
Calculated formation energy   -0.912 eV per atom
Theoretical density   7.81 g cm⁻³

abc: 4.330 4.330 10.440
angles: 90.00 90.00 90.00
Sites, in units of the cell vectors:
La: 0.000 0.500 0.219
La: 0.500 0.000 0.781
Er: 0.000 0.000 0.500
Ni: 0.000 0.500 0.898
Ni: 0.500 0.000 0.102
Ni: 0.500 0.500 0.500
As: 0.000 0.000 0.000
As: 0.000 0.500 0.664
As: 0.500 0.000 0.336
As: 0.500 0.500 0.000